# 1
A geometry-optimized BaBr4 structure. Source: Alexandria via LeMat-Bulk, functional GGA-PBE.

The structure in CIF format:
```
data_BaBr4
_cell_length_a 6.395
_cell_length_b 6.395
_cell_length_c 6.395
_cell_angle_alpha 90.00
_cell_angle_beta 90.00
_cell_angle_gamma 90.00
_symmetry_space_group_name_H-M 'P m -3 m'
_symmetry_Int_Tables_number 221
_symmetry_space_group_name_Hall '-P 4 2 3'
loop_
_atom_site_label
_atom_site_fract_x
_atom_site_fract_y
_atom_site_fract_z
Ba1 0.000 0.000 0.000
Br1 0.000 0.000 0.500
Br2 0.500 0.500 0.500
```

total energy	-2.533	eV per atom

---

# 2
A geometry-optimized Ti2BeP structure. Source: Alexandria via LeMat-Bulk, functional GGA-PBE.

The structure in CIF format:
```
data_Ti2BeP
_cell_length_a 5.972
_cell_length_b 5.972
_cell_length_c 5.972
_cell_angle_alpha 90.00
_cell_angle_beta 90.00
_cell_angle_gamma 90.00
_symmetry_space_group_name_H-M 'F m -3 m'
_symmetry_Int_Tables_number 225
_symmetry_space_group_name_Hall '-F 4 2 3'
loop_
_atom_site_label
_atom_site_fract_x
_atom_site_fract_y
_atom_site_fract_z
Ti1 0.250 0.250 0.250
Be1 0.000 0.000 0.000
P1 0.000 0.000 0.500
```

total energy	-6.538	eV per atom

---

# 3
A geometry-optimized Na2Sr2Hg structure. Source: Alexandria via LeMat-Bulk, functional GGA-PBE.

The structure in CIF format:
```
data_Na2Sr2Hg
_cell_length_a 4.252
_cell_length_b 4.252
_cell_length_c 21.156
_cell_angle_alpha 90.00
_cell_angle_beta 90.00
_cell_angle_gamma 90.00
_symmetry_space_group_name_H-M 'I 4/m m m'
_symmetry_Int_Tables_number 139
_symmetry_space_group_name_Hall '-I 4 2'
loop_
_atom_site_label
_atom_site_fract_x
_atom_site_fract_y
_atom_site_fract_z
Na1 0.000 0.500 0.250
Sr1 0.000 0.000 0.088
Hg1 0.000 0.000 0.500
```

total energy	-1.375	eV per atom

---

Number 1: Fermi-level density of states 2.691 states/eV per atom. Number 2: Fermi-level density of states 1.031 states/eV per atom. Number 3: Fermi-level density of states 0.588 states/eV per atom.